Material: CdSnF2
Method: DFT, PBE
State: optimized geometry

Lattice parameters (Å, degrees): 4.4071 4.4071 15.7794 90.00 90.00 90.00
Last column: nearest neighbours and their distance in Å.
Space group I-42d (No. 122)
Inequivalent atoms, fractional coordinates:
Cd1 0.0000 0.0000 0.0000  4 F 2.59
Sn1 0.0000 0.0000 0.5000  4 F 2.45
F1 0.2127 0.2500 0.6250  2 Sn 2.45, 2 Cd 2.59

Output
Its total moment is 0.00 μB/f.u. Its offset from the most stable computed form is 119 meV/atom. Its raw formation energy is -5.482 eV/f.u. As for the crystal system: tetragonal.


Material: Cu2BrCl
Method: DFT, PBE
State: optimized geometry

Lattice parameters (Å, degrees): 3.2936 3.2936 6.5576 90.00 90.00 90.00
Last column: nearest neighbours and their distance in Å.
Space group P4/mmm (No. 123)
Inequivalent atoms, fractional coordinates:
Cu1 0.0000 0.0000 0.2395  4 Cl 2.81, 4 Br 2.89, 1 Cu 3.14
Br1 0.5000 0.5000 0.5000  8 Cu 2.89
Cl1 0.5000 0.5000 0.0000  8 Cu 2.81

Output
Its total moment is 0.00 μB/f.u. Its offset from the most stable computed form is 474 meV/atom. Its raw formation energy is 0.678 eV/f.u. As for the crystal system: tetragonal.


Material: Cs2UPaSe6
Method: DFT, PBE
State: optimized geometry

Lattice parameters (Å, degrees): 11.0570 11.0570 11.0570 90.00 90.00 90.00
Last column: nearest neighbours and their distance in Å.
Space group Fm-3m (No. 225)
Inequivalent atoms, fractional coordinates:
Cs1 0.2500 0.2500 0.2500  12 Se 3.91
U1 0.0000 0.0000 0.0000  6 Se 2.76
Pa1 0.0000 0.0000 0.5000  6 Se 2.77
Se1 0.0000 0.0000 0.2493  1 U 2.76, 1 Pa 2.77

Output
Its total moment is 1.01 μB/f.u. Its raw formation energy is -13.167 eV/f.u. As for the crystal system: cubic.


Material: MnVPt4
Method: DFT, PBE
State: optimized geometry

Lattice parameters (Å, degrees): 4.7864 5.5521 6.9113 90.00 101.90 90.00
Last column: nearest neighbours and their distance in Å.
Space group P2_1/m (No. 11)
Inequivalent atoms, fractional coordinates:
Mn1 0.2330 0.2500 0.1673  9 Pt 2.66-2.79, 3 V 2.78-2.83
V1 0.2249 0.7500 0.1651  9 Pt 2.65-2.82, 3 Mn 2.78-2.83
Pt1 0.0030 0.7500 0.4952  1 V 2.71, 10 Pt 2.75-2.85, 1 Mn 2.79
Pt2 0.2657 0.0002 0.8450  3 V 2.65-2.82, 3 Mn 2.66-2.79, 6 Pt 2.76-2.85
Pt3 0.5000 0.0000 0.5000  8 Pt 2.75-2.84, 2 Mn 2.76, 2 V 2.79

Output
The calculation puts the formation enthalpy at 0 K at -0.3881 eV/atom. Its total moment is 2.64 μB/f.u. Its offset from the most stable computed form is 0 meV/atom. As for the crystal system: monoclinic.


Material: CuRuCl
Method: DFT, PBE
State: optimized geometry

Lattice parameters (Å, degrees): 5.9222 5.9222 5.9222 90.00 90.00 90.00
Last column: nearest neighbours and their distance in Å.
Space group F-43m (No. 216)
Inequivalent atoms, fractional coordinates:
Cu1 0.0000 0.0000 0.0000  4 Ru 2.56
Ru1 0.2500 0.2500 0.7500  4 Cl 2.56, 4 Cu 2.56
Cl1 0.0000 0.0000 0.5000  4 Ru 2.56

Output
Its total moment is 2.00 μB/f.u. Its offset from the most stable computed form is 384 meV/atom. Its raw formation energy is 2.509 eV/f.u. As for the crystal system: cubic.


Material: CaCoSi2W
Method: DFT, PBE
State: optimized geometry

Lattice parameters (Å, degrees): 4.7479 4.7479 5.4025 90.00 90.00 90.00
Last column: nearest neighbours and their distance in Å.
Space group P4/mmm (No. 123)
Inequivalent atoms, fractional coordinates:
Ca1 0.0000 0.0000 0.0000  2 W 2.70
Co1 0.5000 0.5000 0.0000  4 Ca 3.36, 8 Si 3.60
Si1 0.0000 0.5000 0.5000  2 W 2.37
W1 0.0000 0.0000 0.5000  4 Si 2.37

Output
Its total moment is 2.60 μB/f.u. Its raw formation energy is 5.760 eV/f.u. As for the crystal system: tetragonal.


no.,density of states at the Fermi level (states/eV per atom)
1,0.232
2,0.618
3,0.043
4,0.808
5,0.607
6,1.318